Compound: K3Na4Cd2
Source: Alexandria via LeMat-Bulk
Functional: PBE-GGA
Structure: optimized geometry

Cell and atoms, written as CIF:
```
data_K3Na4Cd2
_cell_length_a 4.953
_cell_length_b 8.608
_cell_length_c 10.613
_cell_angle_alpha 64.33
_cell_angle_beta 76.23
_cell_angle_gamma 73.08
_space_group_name_H-M_alt 'P 1'
_space_group_IT_number 1
loop_
_space_group_symop_operation_xyz
'x,y,z'
loop_
_atom_site_label
_atom_site_fract_x
_atom_site_fract_y
_atom_site_fract_z
K1 0.000 0.000 0.000
Na1 0.890 0.532 0.694
K2 0.374 0.869 0.382
Cd1 0.762 0.243 0.232
Na2 0.110 0.468 0.306
Na3 0.675 0.647 0.002
K3 0.626 0.131 0.618
Na4 0.325 0.353 0.998
Cd2 0.238 0.757 0.768
```

Summary:
V, Å³/cell: 386.9
Energy of formation from the pure elements, eV/atom: -0.0137